Entry 1:
Below is a crystal of Sc4TlPt relaxed with PBEsol, with properties calculated at the meta-GGA SCAN level.

Cell: 7.8561 7.8561 7.8561 Å, 90.00 90.00 90.00°
Last column: nearest neighbours and their distance in Å.
Space group F-43m (No. 216)
One atom of each set of equivalent atoms:
1 Sc 0.1243 0.1243 0.3757 (multiplicity 16)  6 Sc 2.76-2.79
2 Tl 0.0000 0.0000 0.0000 (multiplicity 4)  12 Sc 3.26, 4 Pt 3.40
3 Pt 0.2500 0.2500 0.7500 (multiplicity 4)  12 Sc 3.26, 4 Tl 3.40

The calculation puts the formation energy at 0.060 eV/atom. The crystal system is cubic.

***

Entry 2:
Below is a crystal of ZrSc5 relaxed with PBEsol, with properties calculated at the meta-GGA SCAN level.

Cell: 5.6373 5.6373 5.0443 Å, 90.00 90.00 120.00°
Last column: nearest neighbours and their distance in Å.
Space group P-62m (No. 189)
One atom of each set of equivalent atoms:
1 Zr 0.0000 0.0000 0.0000 (multiplicity 1)  12 Sc 3.12-3.25
2 Sc 0.0000 0.6751 0.5000 (multiplicity 3)  2 Zr 3.12, 10 Sc 3.16-3.30
3 Sc 0.3333 0.6667 0.0000 (multiplicity 2)  9 Sc 3.16-3.25, 3 Zr 3.25

The calculation puts the formation energy at 0.019 eV/atom. The crystal system is hexagonal.

***

Entry 3:
Below is a crystal of LaMnW2 relaxed with PBEsol, with properties calculated at the meta-GGA SCAN level.

Cell: 3.1917 4.6699 9.2361 Å, 90.00 90.00 90.00°
Last column: nearest neighbours and their distance in Å.
Space group Cmm2 (No. 35)
One atom of each set of equivalent atoms:
1 La 0.0000 0.0000 0.0000 (multiplicity 2)  4 La 2.83, 2 Mn 2.95, 2 W 3.16
2 Mn 0.0000 0.5000 0.7310 (multiplicity 2)  2 W 2.47
3 W 0.0000 0.0000 0.5268 (multiplicity 2)  2 Mn 2.47, 2 W 2.66
4 W 0.0000 0.5000 0.2957 (multiplicity 2)  6 W 2.66-2.83

The calculation puts the formation energy at 0.544 eV/atom. The crystal system is orthorhombic.

***

Entry 4:
Below is a crystal of AgBPt3 relaxed with PBEsol, with properties calculated at the meta-GGA SCAN level.

Cell: 4.1575 4.1575 4.1575 Å, 90.00 90.00 90.00°
Last column: nearest neighbours and their distance in Å.
Space group Pm-3m (No. 221)
One atom of each set of equivalent atoms:
1 Ag 0.0000 0.0000 0.0000 (multiplicity 1)  12 Pt 2.94
2 B 0.5000 0.5000 0.5000 (multiplicity 1)  6 Pt 2.08
3 Pt 0.0000 0.5000 0.5000 (multiplicity 3)  2 B 2.08

The calculation puts the formation energy at -0.113 eV/atom. The crystal system is cubic.

***

Entry 5:
Below is a crystal of SrZnSi2 relaxed with PBEsol, with properties calculated at the meta-GGA SCAN level.

Cell: 4.2582 4.2582 4.3131 Å, 90.00 90.00 90.00°
Last column: nearest neighbours and their distance in Å.
Space group P4/mmm (No. 123)
One atom of each set of equivalent atoms:
1 Sr 0.0000 0.0000 0.0000 (multiplicity 1)  4 Zn 3.01, 8 Si 3.03
2 Zn 0.5000 0.5000 0.0000 (multiplicity 1)  4 Sr 3.01, 8 Si 3.03
3 Si 0.0000 0.5000 0.5000 (multiplicity 2)  4 Si 3.01, 4 Sr 3.03, 4 Zn 3.03

The crystal system is tetragonal.

***

Entry 6:
Below is a crystal of ScPbBr2 relaxed with PBEsol, with properties calculated at the meta-GGA SCAN level.

Cell: 7.2522 7.2522 7.2522 Å, 90.00 90.00 90.00°
Last column: nearest neighbours and their distance in Å.
Space group Fm-3m (No. 225)
One atom of each set of equivalent atoms:
1 Sc 0.0000 0.0000 0.0000 (multiplicity 4)  8 Br 3.14
2 Pb 0.0000 0.0000 0.5000 (multiplicity 4)  8 Br 3.14
3 Br 0.2500 0.2500 0.2500 (multiplicity 8)  4 Pb 3.14, 4 Sc 3.14

The crystal system is cubic.

***

Entry 7:
Below is a crystal of BaBi6P4O20 relaxed with PBEsol, with properties calculated at the meta-GGA SCAN level.

Cell: 7.0392 7.6588 9.0917 Å, 107.16 93.15 111.59°
Last column: nearest neighbours and their distance in Å.
Space group P-1 (No. 2)
One atom of each set of equivalent atoms:
1 Ba 0.0000 0.0000 0.0000 (multiplicity 1)  8 O 2.67-2.77
2 Bi 0.1956 0.6937 0.6685 (multiplicity 2)  4 O 2.15-2.34
3 Bi 0.3239 0.1189 0.5009 (multiplicity 2)  3 O 2.21-2.30
4 Bi 0.4441 0.7932 0.0908 (multiplicity 2)  5 O 2.27-2.48
5 P 0.0459 0.2712 0.7505 (multiplicity 2)  4 O 1.55-1.56
6 P 0.3528 0.4091 0.2635 (multiplicity 2)  4 O 1.54-1.56
7 O 0.0358 0.7813 0.4269 (multiplicity 2)  1 P 1.56
8 O 0.1370 0.2832 0.2902 (multiplicity 2)  1 P 1.55
9 O 0.1371 0.8283 0.1736 (multiplicity 2)  1 P 1.55
10 O 0.1485 0.5005 0.8315 (multiplicity 2)  1 P 1.55
11 O 0.2040 0.1730 0.7575 (multiplicity 2)  1 P 1.56
12 O 0.3254 0.9039 0.9019 (multiplicity 2)  3 Bi 2.15-2.36
13 O 0.3605 0.3409 0.0874 (multiplicity 2)  1 P 1.54
14 O 0.3912 0.6335 0.3218 (multiplicity 2)  1 P 1.55
15 O 0.4422 0.9705 0.6357 (multiplicity 2)  3 Bi 2.21-2.31
16 O 0.4833 0.6261 0.6407 (multiplicity 2)  1 P 1.56

The crystal system is triclinic.

***

Entry 8:
Below is a crystal of MnZnF4 relaxed with PBEsol, with properties calculated at the meta-GGA SCAN level.

Cell: 5.1091 5.2722 6.1427 Å, 115.33 110.27 90.00°
Last column: nearest neighbours and their distance in Å.
Space group P1 (No. 1)
One atom of each set of equivalent atoms:
1 Mn 0.0000 0.0000 0.0000 (multiplicity 1)  5 F 2.06-2.25
2 Mn 0.4994 0.5267 0.9993 (multiplicity 1)  5 F 2.05-2.25
3 Zn 0.2286 0.7267 0.5100 (multiplicity 1)  6 F 1.95-2.14
4 Zn 0.7287 0.3116 0.5103 (multiplicity 1)  6 F 1.95-2.14
5 F 0.1232 0.5824 0.7520 (multiplicity 1)  2 Zn 2.10-2.14, 2 Mn 2.11-2.31
6 F 0.2284 0.0941 0.7975 (multiplicity 1)  1 Zn 1.99, 1 Mn 2.17
7 F 0.2997 0.7965 0.2467 (multiplicity 1)  1 Zn 1.95, 1 Mn 2.14
8 F 0.3162 0.3226 0.3097 (multiplicity 1)  1 Mn 2.06, 2 Zn 2.06-2.10
9 F 0.6233 0.6971 0.7525 (multiplicity 1)  2 Zn 2.10-2.14, 2 Mn 2.11-2.31
10 F 0.7283 0.2307 0.7977 (multiplicity 1)  1 Zn 1.99, 1 Mn 2.17
11 F 0.8002 0.9796 0.2474 (multiplicity 1)  1 Zn 1.95, 1 Mn 2.14
12 F 0.8160 0.5164 0.3099 (multiplicity 1)  1 Mn 2.05, 2 Zn 2.05-2.10

The crystal system is triclinic.

***

Entry 9:
Below is a crystal of YMnGaO5 relaxed with PBEsol, with properties calculated at the meta-GGA SCAN level.

Cell: 7.2380 8.4393 5.6505 Å, 90.00 90.00 90.00°
Last column: nearest neighbours and their distance in Å.
Space group Pbam (No. 55)
One atom of each set of equivalent atoms:
1 Y 0.1339 0.1695 0.0000 (multiplicity 4)  8 O 2.30-2.45
2 Mn 0.0000 0.5000 0.2507 (multiplicity 4)  6 O 1.87-1.90
3 Ga 0.1083 0.8533 0.5000 (multiplicity 4)  5 O 1.87-1.96
4 O 0.0000 0.0000 0.2699 (multiplicity 4)  2 Ga 1.96
5 O 0.1062 0.7050 0.2417 (multiplicity 8)  1 Mn 1.89, 1 Ga 1.92
6 O 0.1495 0.4303 0.5000 (multiplicity 4)  1 Ga 1.87, 2 Mn 1.87
7 O 0.1615 0.4431 0.0000 (multiplicity 4)  2 Mn 1.90

The crystal system is orthorhombic.

***

Entry 10:
Below is a crystal of BeHgSeN2 relaxed with PBEsol, with properties calculated at the meta-GGA SCAN level.

Cell: 3.6314 3.6314 5.4321 Å, 90.00 90.00 90.00°
Last column: nearest neighbours and their distance in Å.
Space group P4/mmm (No. 123)
One atom of each set of equivalent atoms:
1 Be 0.0000 0.0000 0.0000 (multiplicity 1)  4 N 1.82
2 Hg 0.5000 0.5000 0.5000 (multiplicity 1)  4 Se 2.57
3 Se 0.0000 0.0000 0.5000 (multiplicity 1)  4 Hg 2.57, 2 Be 2.72
4 N 0.0000 0.5000 0.0000 (multiplicity 2)  2 Be 1.82

The crystal system is tetragonal.

***

Entry 11:
Below is a crystal of BaScCl2 relaxed with PBEsol, with properties calculated at the meta-GGA SCAN level.

Cell: 3.7112 3.7112 8.3417 Å, 90.00 90.00 90.00°
Last column: nearest neighbours and their distance in Å.
Space group P4/mmm (No. 123)
One atom of each set of equivalent atoms:
1 Ba 0.0000 0.0000 0.0000 (multiplicity 1)  8 Cl 3.13
2 Sc 0.0000 0.0000 0.5000 (multiplicity 1)  8 Cl 3.60, 4 Sc 3.71
3 Cl 0.5000 0.5000 0.2045 (multiplicity 2)  4 Ba 3.13, 1 Cl 3.41

The crystal system is tetragonal.

***

Entry 12:
Below is a crystal of SrAs2Pt relaxed with PBEsol, with properties calculated at the meta-GGA SCAN level.

Cell: 4.0580 4.0580 18.0111 Å, 90.00 90.00 120.00°
Last column: nearest neighbours and their distance in Å.
Space group R-3m (No. 166, hexagonal axes)
One atom of each set of equivalent atoms:
1 Sr 0.0000 0.0000 0.0000 (multiplicity 3)  6 As 3.06
2 As 0.0000 0.0000 0.2245 (multiplicity 6)  3 Pt 2.56
3 Pt 0.0000 0.0000 0.5000 (multiplicity 3)  6 As 2.56

The calculation puts the formation energy at -0.901 eV/atom. The crystal system is trigonal.

***

Entry 13:
Below is a crystal of InSiOs2 relaxed with PBEsol, with properties calculated at the meta-GGA SCAN level.

Cell: 8.4892 2.9346 5.0935 Å, 90.00 104.66 90.00°
Last column: nearest neighbours and their distance in Å.
Space group C2/m (No. 12)
One atom of each set of equivalent atoms:
1 In 0.0000 0.0000 0.0000 (multiplicity 2)  6 Os 2.71-2.86, 2 In 2.93, 4 Si 2.94
2 Si 0.0000 0.5000 0.5000 (multiplicity 2)  4 Os 2.41
3 Os 0.2237 0.0000 0.7022 (multiplicity 4)  2 Si 2.41, 2 Os 2.66

The crystal system is monoclinic.

***

Entry 14:
Below is a crystal of NaHg2Pd2 relaxed with PBEsol, with properties calculated at the meta-GGA SCAN level.

Cell: 3.9568 3.9568 12.9935 Å, 90.00 90.00 90.00°
Last column: nearest neighbours and their distance in Å.
Space group I4/mmm (No. 139)
One atom of each set of equivalent atoms:
1 Na 0.0000 0.0000 0.0000 (multiplicity 2)  8 Hg 3.12
2 Hg 0.0000 0.0000 0.3938 (multiplicity 4)  4 Pd 2.72, 1 Hg 2.76
3 Pd 0.0000 0.5000 0.2500 (multiplicity 4)  4 Hg 2.72, 4 Pd 2.80

The calculation puts the formation energy at -0.189 eV/atom. The crystal system is tetragonal.

***

Entry 15:
Below is a crystal of TlCuAs2Pt relaxed with PBEsol, with properties calculated at the meta-GGA SCAN level.

Cell: 4.8539 4.8539 5.1839 Å, 90.00 90.00 90.00°
Last column: nearest neighbours and their distance in Å.
Space group P4/mmm (No. 123)
One atom of each set of equivalent atoms:
1 Tl 0.0000 0.0000 0.0000 (multiplicity 1)  2 Pt 2.59
2 Cu 0.5000 0.5000 0.0000 (multiplicity 1)  4 Tl 3.43, 8 As 3.55
3 As 0.0000 0.5000 0.5000 (multiplicity 2)  2 Pt 2.43
4 Pt 0.0000 0.0000 0.5000 (multiplicity 1)  4 As 2.43, 2 Tl 2.59

The calculation puts the formation energy at 0.729 eV/atom. The crystal system is tetragonal.

***

Entry 16:
Below is a crystal of Sr3CdRh relaxed with PBEsol, with properties calculated at the meta-GGA SCAN level.

Cell: 5.6770 5.6770 5.6770 Å, 90.00 90.00 90.00°
Last column: nearest neighbours and their distance in Å.
Space group Pm-3m (No. 221)
One atom of each set of equivalent atoms:
1 Sr 0.0000 0.0000 0.5000 (multiplicity 3)  2 Rh 2.84
2 Cd 0.5000 0.5000 0.5000 (multiplicity 1)  12 Sr 4.01
3 Rh 0.0000 0.0000 0.0000 (multiplicity 1)  6 Sr 2.84

The calculation puts the formation energy at -0.188 eV/atom. The crystal system is cubic.

***

Entry 17:
Below is a crystal of HgP2SO relaxed with PBEsol, with properties calculated at the meta-GGA SCAN level.

Cell: 4.7232 4.7232 3.4236 Å, 90.00 90.00 90.00°
Last column: nearest neighbours and their distance in Å.
Space group P4/mmm (No. 123)
One atom of each set of equivalent atoms:
1 Hg 0.0000 0.0000 0.0000 (multiplicity 1)  8 P 2.92
2 P 0.0000 0.5000 0.5000 (multiplicity 2)  2 S 2.36
3 S 0.5000 0.5000 0.5000 (multiplicity 1)  2 O 1.71
4 O 0.5000 0.5000 0.0000 (multiplicity 1)  2 S 1.71

The crystal system is tetragonal.

***

Entry 18:
Below is a crystal of CrCo2Mo relaxed with PBEsol, with properties calculated at the meta-GGA SCAN level.

Cell: 3.5709 3.5709 7.1791 Å, 90.00 90.00 90.00°
Last column: nearest neighbours and their distance in Å.
Space group I4/mmm (No. 139)
One atom of each set of equivalent atoms:
1 Cr 0.0000 0.0000 0.0000 (multiplicity 2)  4 Mo 2.52, 8 Co 2.53
2 Co 0.0000 0.5000 0.2500 (multiplicity 4)  4 Co 2.52, 4 Cr 2.53, 4 Mo 2.53
3 Mo 0.0000 0.0000 0.5000 (multiplicity 2)  4 Cr 2.52, 8 Co 2.53

The calculation puts the formation energy at 0.181 eV/atom. The crystal system is tetragonal.

***

Entry 19:
Below is a crystal of BaTi2SiAg relaxed with PBEsol, with properties calculated at the meta-GGA SCAN level.

Cell: 4.9357 4.9357 5.3172 Å, 90.00 90.00 90.00°
Last column: nearest neighbours and their distance in Å.
Space group P4/mmm (No. 123)
One atom of each set of equivalent atoms:
1 Ba 0.0000 0.0000 0.0000 (multiplicity 1)  4 Ti 2.47, 2 Si 2.66
2 Ti 0.0000 0.5000 0.0000 (multiplicity 2)  2 Ba 2.47
3 Si 0.0000 0.0000 0.5000 (multiplicity 1)  2 Ba 2.66
4 Ag 0.5000 0.5000 0.5000 (multiplicity 1)  4 Si 3.49, 8 Ti 3.63

The crystal system is tetragonal.

***

Entry 20:
Below is a crystal of BaMgN3 relaxed with PBEsol, with properties calculated at the meta-GGA SCAN level.

Cell: 4.5249 4.5249 4.5249 Å, 90.00 90.00 90.00°
Last column: nearest neighbours and their distance in Å.
Space group Pm-3m (No. 221)
One atom of each set of equivalent atoms:
1 Ba 0.0000 0.0000 0.0000 (multiplicity 1)  6 N 2.26
2 Mg 0.5000 0.5000 0.5000 (multiplicity 1)  12 N 3.20
3 N 0.0000 0.0000 0.5000 (multiplicity 3)  2 Ba 2.26

The crystal system is cubic.

***

no.,magnetic moment (μB per cell),density of states at the Fermi level (states/eV per atom),E (Ha/atom)
1,0.00,0.632,-1.220
2,0.00,1.649,-0.623
3,5.03,0.881,-1.824
4,0.00,0.081,-1.837
5,0.00,0.367,-0.505
6,0.01,0.876,-1.200
7,0.00,0.000,-0.878
8,10.00,0.000,-0.379
9,11.94,0.000,-0.532
10,3.74,0.325,-0.777
11,1.76,0.484,-0.686
12,0.00,0.089,-1.254
13,0.00,0.387,-1.712
14,0.00,0.333,-1.522
15,0.00,0.674,-1.429
16,0.00,0.570,-0.970
17,0.00,0.399,-0.751
18,0.05,0.581,-0.801
19,0.01,1.232,-0.752
20,1.73,0.611,-0.458